Computed, not measured: crystalline Mn2Cd3O5 at its relaxed geometry at the PBE with a Hubbard U level of DFT.

Cell lengths 4.6838, 5.7213, 5.7411 Å; angles 80.32, 65.93, 65.84 degrees
Atoms (fractional coordinates):
Mn (0.8983, 0.8030, 0.4004)
Mn (0.1017, 0.1970, 0.5996)
O (0.3873, 0.8194, 0.4060)
O (0.1808, 0.4159, 0.2226)
O (0.0000, 0.0000, 0.0000)
O (0.6127, 0.1806, 0.5940)
O (0.8192, 0.5841, 0.7774)
Cd (0.3037, 0.5945, 0.7981)
Cd (0.5000, 0.0000, 0.0000)
Cd (0.6963, 0.4055, 0.2019)

Fermi-level density of states: 0.1381 states/eV/atom
Space-group type: C2/m (12)
Magnetic moment: 10.0 Bohr magnetons per cell
Raw total energy: -54.9 eV per cell
ρ: 6.83 g/cm3